Here is an optimized crystal structure of Na5Fe3F12 from Alexandria via LeMat-Bulk. Energies are from PBE+U.

- Raw total energy: -4.9067 eV/atom
- N(E_F): 8.30 states/eV/f.u.

The structure in POSCAR format:
```
Na5Fe3F12
1.0
-0.698 -1.363 2.847
-3.103 -7.868 -4.527
9.205 0.721 2.601
Na Fe F
5 3 12
Direct
0.000 0.333 0.667
0.000 0.667 0.333
0.000 0.290 0.000
0.000 0.710 0.710
0.000 0.000 0.290
0.500 0.667 0.000
0.500 0.333 0.333
0.500 0.000 0.667
0.000 0.807 0.000
0.000 0.193 0.193
0.000 0.000 0.807
0.000 0.530 0.000
0.000 0.470 0.470
0.000 0.000 0.530
0.500 0.206 0.445
0.500 0.239 0.794
0.500 0.794 0.239
0.500 0.555 0.761
0.500 0.761 0.555
0.500 0.445 0.206
```